A | {
  "formula": "Ta2ReAu",
  "functional": "SCAN",
  "state": "single point on PBEsol structure",
  "dos_ef_per_ev_cell": 4.15,
  "magmom_total_mub_per_cell": 0.00,
  "space_group": "R3m",
  "lattice_angstrom": [[-2.574, 0.564, 0.994], [-2.244, -1.326, -1.068], [-0.593, -7.306, 6.600]],
  "species": ["Au", "Re", "Ta", "Ta"],
  "fractional_positions": [[0.501, 0.501, 0.496], [0.249, 0.249, 0.253], [0.997, 0.997, 0.008], [0.752, 0.752, 0.744]]
}

***

B | {
  "formula": "Ta2ReAu",
  "functional": "SCAN",
  "state": "single point on PBEsol structure",
  "dos_ef_per_ev_cell": 2.54,
  "magmom_total_mub_per_cell": 0.00,
  "space_group": "Imm2",
  "lattice_angstrom": [[3.530, 0.000, 0.000], [0.000, 4.336, 0.000], [-1.765, -2.168, 4.330]],
  "species": ["Au", "Re", "Ta", "Ta"],
  "fractional_positions": [[0.503, 0.503, 0.005], [0.262, 0.762, 0.525], [0.992, 0.992, 0.985], [0.743, 0.243, 0.485]]
}

***

Which of them is most stable, and which least? Most stable: B; least stable: A.

***

A | {
  "formula": "ReTc2Au",
  "functional": "SCAN",
  "state": "single point on PBEsol structure",
  "dos_ef_per_ev_cell": 2.90,
  "magmom_total_mub_per_cell": 0.00,
  "space_group": "C2/m",
  "lattice_angstrom": [[2.774, 0.000, 0.000], [0.000, 4.763, -0.002], [-1.387, -0.852, 4.492]],
  "species": ["Au", "Re", "Tc", "Tc"],
  "fractional_positions": [[0.500, 0.000, 0.000], [0.000, 0.500, 0.000], [0.257, 0.277, 0.515], [0.743, 0.723, 0.485]]
}

***

B | {
  "formula": "ReTc2Au",
  "functional": "SCAN",
  "state": "single point on PBEsol structure",
  "dos_ef_per_ev_cell": 3.38,
  "magmom_total_mub_per_cell": 0.00,
  "space_group": "I4/mmm",
  "lattice_angstrom": [[-1.098, -3.305, 1.771], [3.722, -1.184, 0.098], [-0.867, 3.925, 2.476]],
  "species": ["Au", "Re", "Tc", "Tc"],
  "fractional_positions": [[0.500, 0.500, 0.000], [0.000, 0.000, 0.000], [0.750, 0.250, 0.500], [0.250, 0.750, 0.500]]
}

***

Which of them is most stable, and which least? Most stable: B; least stable: A.

***

A | {
  "formula": "Tl2ReAu",
  "functional": "SCAN",
  "state": "single point on PBEsol structure",
  "dos_ef_per_ev_cell": 2.07,
  "magmom_total_mub_per_cell": 0.00,
  "space_group": "C2/m",
  "lattice_angstrom": [[2.955, 0.000, 0.000], [-0.026, 5.441, 0.000], [-1.465, -2.721, 4.820]],
  "species": ["Au", "Re", "Tl", "Tl"],
  "fractional_positions": [[0.500, 0.500, 0.000], [0.000, 0.000, 0.000], [0.000, 0.000, 0.500], [0.500, 0.500, 0.500]]
}

***

B | {
  "formula": "Tl2ReAu",
  "functional": "SCAN",
  "state": "single point on PBEsol structure",
  "dos_ef_per_ev_cell": 1.40,
  "magmom_total_mub_per_cell": 1.54,
  "space_group": "I-4m2",
  "lattice_angstrom": [[-0.716, 0.162, -3.952], [-3.815, -1.089, 0.646], [1.028, 5.042, 2.065]],
  "species": ["Au", "Re", "Tl", "Tl"],
  "fractional_positions": [[0.500, 0.500, 0.000], [0.250, 0.750, 0.500], [0.000, 0.000, 0.000], [0.750, 0.250, 0.500]]
}

***

Which of them is most stable, and which least? Most stable: A; least stable: B.

***

A | {
  "formula": "Re2WAu",
  "functional": "SCAN",
  "state": "single point on PBEsol structure",
  "dos_ef_per_ev_cell": 2.95,
  "magmom_total_mub_per_cell": 0.00,
  "space_group": "F-43m",
  "lattice_angstrom": [[4.438, 0.000, 0.000], [2.219, 3.843, 0.000], [2.219, 1.281, 3.624]],
  "species": ["Au", "Re", "Re", "W"],
  "fractional_positions": [[0.500, 0.500, 0.500], [0.000, 0.000, 0.000], [0.750, 0.750, 0.750], [0.250, 0.250, 0.250]]
}

***

B | {
  "formula": "Re2WAu",
  "functional": "SCAN",
  "state": "single point on PBEsol structure",
  "dos_ef_per_ev_cell": 2.50,
  "magmom_total_mub_per_cell": 0.00,
  "space_group": "Pmmm",
  "lattice_angstrom": [[-1.946, 1.235, -1.610], [-2.327, 0.427, 3.141], [2.313, 4.995, 1.035]],
  "species": ["Au", "Re", "Re", "W"],
  "fractional_positions": [[0.500, 0.500, 0.500], [0.000, 0.000, 0.773], [0.000, 0.000, 0.227], [0.500, 0.500, 0.000]]
}

***

Which of them is most stable, and which least? Most stable: B; least stable: A.

***

A | {
  "formula": "YRe2Au",
  "functional": "SCAN",
  "state": "single point on PBEsol structure",
  "dos_ef_per_ev_cell": 3.09,
  "magmom_total_mub_per_cell": 0.00,
  "space_group": "P2/m",
  "lattice_angstrom": [[-2.204, 1.623, -1.285], [-2.865, -3.712, 0.831], [-1.176, 1.895, 4.413]],
  "species": ["Au", "Re", "Re", "Y"],
  "fractional_positions": [[0.500, 0.000, 0.500], [0.325, 0.259, 0.000], [0.675, 0.741, 0.000], [0.000, 0.500, 0.500]]
}

***

B | {
  "formula": "YRe2Au",
  "functional": "SCAN",
  "state": "single point on PBEsol structure",
  "dos_ef_per_ev_cell": 3.49,
  "magmom_total_mub_per_cell": 0.00,
  "space_group": "P4/mmm",
  "lattice_angstrom": [[2.751, 0.000, 0.000], [0.000, 2.751, 0.000], [0.000, 0.000, 9.058]],
  "species": ["Au", "Re", "Re", "Y"],
  "fractional_positions": [[0.500, 0.500, 0.500], [0.000, 0.000, 0.731], [0.000, 0.000, 0.269], [0.500, 0.500, 0.000]]
}

***

C | {
  "formula": "YRe2Au",
  "functional": "SCAN",
  "state": "single point on PBEsol structure",
  "dos_ef_per_ev_cell": 1.97,
  "magmom_total_mub_per_cell": 0.00,
  "space_group": "R3m",
  "lattice_angstrom": [[-2.195, -0.910, -1.631], [-0.614, -2.812, -0.150], [-6.870, -0.343, 6.892]],
  "species": ["Au", "Re", "Re", "Y"],
  "fractional_positions": [[0.255, 0.255, 0.235], [0.005, 0.005, 0.985], [0.742, 0.742, 0.775], [0.498, 0.498, 0.505]]
}

***

D | {
  "formula": "YRe2Au",
  "functional": "SCAN",
  "state": "single point on PBEsol structure",
  "dos_ef_per_ev_cell": 2.28,
  "magmom_total_mub_per_cell": 0.00,
  "space_group": "Pmmm",
  "lattice_angstrom": [[2.661, 0.000, 0.000], [0.000, 4.404, 0.000], [0.000, 0.000, 6.055]],
  "species": ["Au", "Re", "Re", "Y"],
  "fractional_positions": [[0.500, 0.500, 0.500], [0.000, 0.000, 0.709], [0.000, 0.000, 0.291], [0.500, 0.500, 0.000]]
}

***

Which of them is most stable, and which least? Most stable: A; least stable: B.

***

A | {
  "formula": "Zn2ReAu",
  "functional": "SCAN",
  "state": "single point on PBEsol structure",
  "dos_ef_per_ev_cell": 1.70,
  "magmom_total_mub_per_cell": 0.00,
  "space_group": "P2/m",
  "lattice_angstrom": [[2.661, 0.000, 0.064], [0.000, 4.253, 0.000], [-0.151, 0.000, 5.243]],
  "species": ["Au", "Re", "Zn", "Zn"],
  "fractional_positions": [[0.500, 0.500, 0.000], [0.000, 0.500, 0.500], [0.512, 0.000, 0.727], [0.488, 0.000, 0.273]]
}

***

B | {
  "formula": "Zn2ReAu",
  "functional": "SCAN",
  "state": "single point on PBEsol structure",
  "dos_ef_per_ev_cell": 1.45,
  "magmom_total_mub_per_cell": 0.00,
  "space_group": "I-4m2",
  "lattice_angstrom": [[3.708, 0.000, 0.000], [0.000, 3.708, 0.000], [-1.854, -1.854, 4.255]],
  "species": ["Au", "Re", "Zn", "Zn"],
  "fractional_positions": [[0.500, 0.500, 0.000], [0.250, 0.750, 0.500], [0.000, 0.000, 0.000], [0.750, 0.250, 0.500]]
}

***

C | {
  "formula": "Zn2ReAu",
  "functional": "SCAN",
  "state": "single point on PBEsol structure",
  "dos_ef_per_ev_cell": 1.10,
  "magmom_total_mub_per_cell": 0.00,
  "space_group": "I4/mmm",
  "lattice_angstrom": [[-2.033, 3.369, -0.529], [-3.332, -1.831, 1.146], [3.362, 0.193, 3.205]],
  "species": ["Au", "Re", "Zn", "Zn"],
  "fractional_positions": [[0.500, 0.500, 0.000], [0.000, 0.000, 0.000], [0.750, 0.250, 0.500], [0.250, 0.750, 0.500]]
}

***

Which of them is most stable, and which least? Most stable: A; least stable: C.

***

A | {
  "formula": "TcRh2Au",
  "functional": "SCAN",
  "state": "single point on PBEsol structure",
  "dos_ef_per_ev_cell": 5.40,
  "magmom_total_mub_per_cell": 0.00,
  "space_group": "Cmmm",
  "lattice_angstrom": [[-1.989, 0.279, -1.860], [2.529, -2.486, -3.076], [-2.699, -2.967, 2.440]],
  "species": ["Au", "Rh", "Rh", "Tc"],
  "fractional_positions": [[0.500, 0.500, 0.500], [0.000, 0.500, 0.000], [0.000, 0.000, 0.500], [0.500, 0.000, 0.000]]
}

***

B | {
  "formula": "TcRh2Au",
  "functional": "SCAN",
  "state": "single point on PBEsol structure",
  "dos_ef_per_ev_cell": 3.86,
  "magmom_total_mub_per_cell": 0.00,
  "space_group": "P4/mmm",
  "lattice_angstrom": [[-0.488, -1.745, 2.042], [1.181, -2.004, -1.430], [6.829, 1.777, 3.151]],
  "species": ["Au", "Rh", "Rh", "Tc"],
  "fractional_positions": [[0.500, 0.500, 0.500], [0.000, 0.000, 0.770], [0.000, 0.000, 0.230], [0.500, 0.500, 0.000]]
}

***

C | {
  "formula": "TcRh2Au",
  "functional": "SCAN",
  "state": "single point on PBEsol structure",
  "dos_ef_per_ev_cell": 3.81,
  "magmom_total_mub_per_cell": 0.00,
  "space_group": "R3m",
  "lattice_angstrom": [[-0.543, 0.227, -2.654], [-1.116, -2.084, -1.343], [-8.754, 2.521, 0.614]],
  "species": ["Au", "Rh", "Rh", "Tc"],
  "fractional_positions": [[0.250, 0.250, 0.251], [0.003, 0.003, 0.990], [0.752, 0.752, 0.745], [0.495, 0.495, 0.515]]
}

***

Which of them is most stable, and which least? Most stable: B; least stable: A.

***

A | {
  "formula": "Tc2RhAu",
  "functional": "SCAN",
  "state": "single point on PBEsol structure",
  "dos_ef_per_ev_cell": 4.79,
  "magmom_total_mub_per_cell": 2.28,
  "space_group": "Fm-3m",
  "lattice_angstrom": [[-0.778, -0.929, 4.200], [3.285, -1.224, 2.612], [1.421, 2.696, 3.134]],
  "species": ["Au", "Rh", "Tc", "Tc"],
  "fractional_positions": [[0.000, 0.000, 0.000], [0.500, 0.500, 0.500], [0.250, 0.250, 0.250], [0.750, 0.750, 0.750]]
}

***

B | {
  "formula": "Tc2RhAu",
  "functional": "SCAN",
  "state": "single point on PBEsol structure",
  "dos_ef_per_ev_cell": 4.03,
  "magmom_total_mub_per_cell": 0.00,
  "space_group": "Imm2",
  "lattice_angstrom": [[3.877, 0.000, 0.000], [0.000, 3.887, 0.000], [-1.939, -1.943, 3.817]],
  "species": ["Au", "Rh", "Tc", "Tc"],
  "fractional_positions": [[0.500, 0.500, 0.000], [0.250, 0.750, 0.500], [0.001, 0.001, 0.002], [0.749, 0.249, 0.498]]
}

***

Which of them is most stable, and which least? Most stable: B; least stable: A.